Here is a relaxed structure of MnBiS2Br from Alexandria via LeMat-Bulk. Energies are from PBEsol.

Cell: 3.8869 6.5230 9.2722 Å, 91.49 90.00 107.33°
Closest atoms and distances in Å follow each position.
Sites, in units of the cell vectors:
Mn  0.5000  0.0000  0.5000  2 S 2.48, 4 Br 2.66
S  0.5698  0.1396  0.7536  2 Mn 2.47-2.48, 2 Bi 2.71
S  0.4302  0.8604  0.2464  2 Mn 2.47-2.48, 2 Bi 2.71
Bi  0.2186  0.4372  0.7980  3 S 2.63-2.71
S  0.8642  0.7284  0.9442  2 Mn 2.62, 1 Bi 2.63
Mn  0.5000  0.0000  0.0000  6 S 2.47-2.62
Br  0.1371  0.2742  0.4363  2 Mn 2.66
Br  0.8629  0.7258  0.5637  2 Mn 2.66
S  0.1358  0.2716  0.0558  2 Mn 2.62, 1 Bi 2.63
Bi  0.7814  0.5628  0.2020  3 S 2.63-2.71

Summary:
Total magnetization ... 1.000 μB per atom
ΔE_f (raw) ... -2.54 eV per formula unit
VASP energy ... -27.22 eV/f.u.

Here is a relaxed structure of Sr2CaSb from Alexandria via LeMat-Bulk. Energies are from PBEsol.

Cell: 4.3731 4.3746 7.6126 Å, 90.07 90.00 90.00°
Closest atoms and distances in Å follow each position.
Sites, in units of the cell vectors:
Ca  0.5000  0.5000  0.5000  8 Sr 3.79, 2 Sb 3.81
Sr  0.0000  0.9992  0.2116  1 Sr 3.22, 4 Sb 3.48-3.49
Sb  0.5000  0.5000  0.0000  8 Sr 3.48-3.49, 2 Ca 3.81
Sr  0.0000  0.0008  0.7884  1 Sr 3.22, 4 Sb 3.48-3.49

Summary:
Total magnetization ... 0.000 μB per atom
ΔE_f (raw) ... -2.10 eV per formula unit
D(E_F) ... 2.3 states/eV/f.u.
VASP energy ... -12.47 eV/f.u.

Here is a relaxed structure of SiIrPb from Alexandria via LeMat-Bulk. Energies are from PBEsol.

Cell: 2.9350 3.3412 6.2212 Å, 105.58 103.64 90.00°
Closest atoms and distances in Å follow each position.
Sites, in units of the cell vectors:
Si  0.6229  0.6229  0.2458  4 Ir 2.44
Ir  0.0366  0.0366  0.0731  4 Si 2.44
Pb  0.3405  0.3405  0.6811  2 Pb 2.94, 4 Ir 3.18, 1 Si 3.28

Summary:
Total magnetization ... 0.000 μB per atom
ΔE_f (raw) ... 0.02 eV per formula unit
D(E_F) ... 1.3 states/eV/f.u.
VASP energy ... -19.54 eV/f.u.

Here is a relaxed structure of Y2Rh from Alexandria via LeMat-Bulk. Energies are from PBEsol.

Cell: 3.9319 3.9319 6.1650 Å, 90.00 90.00 120.00°
Closest atoms and distances in Å follow each position.
Sites, in units of the cell vectors:
Rh  0.0000  0.0000  0.0000  6 Y 2.71
Y  0.3333  0.6667  0.2408  3 Rh 2.71
Y  0.6667  0.3333  0.7592  3 Rh 2.71

Summary:
Calculated formation energy ... -0.43 eV per atom
Total magnetization ... 0.000 μB per atom
D(E_F) ... 3.2 states/eV/f.u.
VASP energy ... -23.07 eV/f.u.

Here is a relaxed structure of Al2O3 from Alexandria via LeMat-Bulk. Energies are from PBEsol.

Cell: 4.9383 5.5274 5.5884 Å, 119.64 90.00 90.00°
Closest atoms and distances in Å follow each position.
Sites, in units of the cell vectors:
O  0.5867  0.6590  0.5575  3 Al 1.79-1.81
O  0.9922  0.7813  0.0000  2 Al 1.69
O  0.5867  0.1015  0.4425  3 Al 1.79-1.81
O  0.4922  0.2187  0.0000  2 Al 1.69
O  0.0867  0.3410  0.4425  3 Al 1.79-1.81
O  0.0867  0.8985  0.5575  3 Al 1.79-1.81
Al  0.4311  0.9930  0.6645  4 O 1.69-1.81
Al  0.9311  0.6715  0.6645  4 O 1.69-1.81
Al  0.9311  0.0070  0.3355  4 O 1.69-1.81
Al  0.4311  0.3285  0.3355  4 O 1.69-1.81

Summary:
Total magnetization ... 0.000 μB per atom
ΔE_f (raw) ... -14.72 eV per formula unit
D(E_F) ... 0.0 states/eV/f.u.
VASP energy ... -38.65 eV/f.u.

Here is a relaxed structure of TcIr2Rh from Alexandria via LeMat-Bulk. Energies are from PBEsol.

Cell: 2.6893 3.8078 5.3990 Å, 90.00 90.00 90.00°
Closest atoms and distances in Å follow each position.
Sites, in units of the cell vectors:
Ir  0.0000  0.0000  0.2525  4 Ir 2.67-2.73, 4 Tc 2.69, 4 Rh 2.70
Rh  0.5000  0.5000  0.0000  2 Rh 2.69, 2 Tc 2.70, 8 Ir 2.70
Tc  0.5000  0.5000  0.5000  8 Ir 2.69, 2 Tc 2.69, 2 Rh 2.70
Ir  0.0000  0.0000  0.7475  4 Ir 2.67-2.73, 4 Tc 2.69, 4 Rh 2.70

Summary:
Calculated formation energy ... -0.14 eV per atom
Total magnetization ... 0.000 μB per atom
D(E_F) ... 3.4 states/eV/f.u.
VASP energy ... -39.63 eV/f.u.
E above lowest polymorph ... 0.000 eV per atom